## TbCu4Ag8 (PBE)

Data for a relaxed TbCu4Ag8 crystal.

a b c (Å): 5.1673 7.0636 7.0636
angles (deg): 82.31 68.54 68.54
Last column: nearest neighbours and their distance in Å.
Atoms (fractional coordinates):
Tb (0.0000, 0.0000, 0.0000)  12 Ag 3.22-3.27, 8 Cu 3.53
Cu (0.0000, 0.0000, 0.5000)  2 Cu 2.58, 8 Ag 2.68-2.81
Cu (0.5000, 0.0000, 0.5000)  2 Cu 2.58, 8 Ag 2.68-2.81
Cu (0.0000, 0.5000, 0.0000)  2 Cu 2.58, 8 Ag 2.68-2.81
Cu (0.5000, 0.5000, 0.0000)  2 Cu 2.58, 8 Ag 2.68-2.81
Ag (0.0000, 0.3466, 0.6534)  4 Cu 2.81, 5 Ag 2.85-3.00
Ag (0.0000, 0.6534, 0.3466)  4 Cu 2.81, 5 Ag 2.85-3.00
Ag (0.3466, 0.6534, 0.6534)  4 Cu 2.81, 5 Ag 2.85-3.00
Ag (0.6534, 0.3466, 0.3466)  4 Cu 2.81, 5 Ag 2.85-3.00
Ag (0.5000, 0.7836, 0.2164)  4 Cu 2.68, 6 Ag 2.84-3.00
Ag (0.5000, 0.2164, 0.7836)  4 Cu 2.68, 6 Ag 2.84-3.00
Ag (0.2836, 0.2164, 0.2164)  4 Cu 2.68, 6 Ag 2.84-3.00
Ag (0.7164, 0.7836, 0.7836)  4 Cu 2.68, 6 Ag 2.84-3.00

Values from the calculation:
Calculated total energy in eV/f.u.: -44.3
Calculated volume in Å³ per atom: 17.18
Formation energy in kJ/mol of formula units: -44